## Hf3ScAl (PBE-GGA)

Data for a geometry-optimized Hf3ScAl structure.

The final energy is -7.861 eV/atom. The total magnetization comes out at 0.0 μB/cell. For the formation energy, the calculation gives 0.13 eV per atom.

The space group is Ama2 (No. 40) and the conventional cell measures 9.5936, 8.3147 and 5.6090 Å, with angles of 90.00, 90.00 and 90.00 degrees. The distinct sites, in fractional coordinates, are Hf at (0.0653, 0.1662, 0.0000), Hf at (0.2500, 0.4715, 0.1817), Sc at (0.2500, 0.3488, 0.6619) and Al at (0.0000, 0.0000, 0.4465).

---

## ReRh6O12 (PBE-GGA)

Data for a geometry-optimized ReRh6O12 structure.

The final energy is -6.759 eV/atom. The total magnetization comes out at 0.0 μB/cell.

The space group is R-3 (No. 148, hexagonal axes) and the conventional cell measures 9.2328, 9.2328 and 8.5360 Å, with angles of 90.00, 90.00 and 120.00 degrees. The distinct sites, in fractional coordinates, are Re at (0.0000, 0.0000, 0.0000), Rh at (0.0423, 0.2367, 0.6619), O at (0.0351, 0.2294, 0.4052) and O at (0.0817, 0.2009, 0.8847).

---

## Li3ThGa3 (PBE-GGA)

Data for a geometry-optimized Li3ThGa3 structure.

The final energy is -2.998 eV/atom. The total magnetization comes out at 0.0 μB/cell. For the formation energy, the calculation gives 0.18 eV per atom.

The space group is Pm-3n (No. 223) and the conventional cell measures 6.5607, 6.5607 and 6.5607 Å, with angles of 90.00, 90.00 and 90.00 degrees. The distinct sites, in fractional coordinates, are Li at (0.0000, 0.2500, 0.5000), Th at (0.0000, 0.0000, 0.0000) and Ga at (0.0000, 0.5000, 0.2500).

---

## Be2IrAu (PBE-GGA)

Data for a geometry-optimized Be2IrAu structure.

The final energy is -5.345 eV/atom. The total magnetization comes out at 0.0 μB/cell. For the formation energy, the calculation gives -0.45 eV per atom.

The space group is P4/mmm (No. 123) and the conventional cell measures 2.9059, 2.9059 and 5.6745 Å, with angles of 90.00, 90.00 and 90.00 degrees. The distinct sites, in fractional coordinates, are Be at (0.0000, 0.0000, 0.2131), Ir at (0.5000, 0.5000, 0.0000) and Au at (0.5000, 0.5000, 0.5000).

---

## PrHoCoRu (PBE-GGA)

Data for a geometry-optimized PrHoCoRu structure.

The final energy is -6.521 eV/atom. The total magnetization comes out at 0.0 μB/cell. For the formation energy, the calculation gives -0.09 eV per atom.

The space group is F-43m (No. 216) and the conventional cell measures 6.8752, 6.8752 and 6.8752 Å, with angles of 90.00, 90.00 and 90.00 degrees. The distinct sites, in fractional coordinates, are Pr at (0.0000, 0.0000, 0.0000), Ho at (0.0000, 0.0000, 0.5000), Co at (0.2500, 0.2500, 0.2500) and Ru at (0.2500, 0.2500, 0.7500).

---

## TbThMnN4 (PBE-GGA)

Data for a geometry-optimized TbThMnN4 structure.

The final energy is -8.825 eV/atom. The total magnetization comes out at 0.0 μB/cell.

The space group is I4mm (No. 107) and the conventional cell measures 3.6823, 3.6823 and 12.6316 Å, with angles of 90.00, 90.00 and 90.00 degrees. The distinct sites, in fractional coordinates, are Tb at (0.0000, 0.0000, 0.0000), Th at (0.0000, 0.0000, 0.2903), Mn at (0.0000, 0.0000, 0.6403), N at (0.0000, 0.0000, 0.4724), N at (0.0000, 0.0000, 0.8156) and N at (0.0000, 0.5000, 0.1434).